(1)
First-principles (PBE) data for BaCd2Br after structural relaxation, as listed in Alexandria.

```
BaCd2Br
1.0
-4.148 2.673 -1.322
-4.637 -1.641 1.377
3.520 3.233 5.805
Ba Br Cd
1 1 2
direct
0.420 0.420 0.515
0.013 0.013 0.302
0.203 0.203 0.848
0.864 0.864 0.834
```

Summary:
- uncorrected formation energy (eV/atom) = -0.740
- calculated density (Mg/m³) = 4.7
- polymorph energy (0 for the lowest one) (eV/atom) = 0.0000
- DOS(E_F) (states/eV per cell) = 2.1

(2)
First-principles (PBE) data for BaCd3Br after structural relaxation, as listed in Alexandria.

```
BaCd3Br
1.0
5.971 0.000 0.000
0.000 5.971 0.000
0.000 0.000 5.971
Ba Br Cd
1 1 3
direct
0.500 0.500 0.500
0.000 0.000 0.000
0.000 0.500 0.000
0.000 0.000 0.500
0.500 0.000 0.000
```

Summary:
- uncorrected formation energy (eV/atom) = 0.034
- calculated density (Mg/m³) = 4.3
- polymorph energy (0 for the lowest one) (eV/atom) = 0.0000
- DOS(E_F) (states/eV per cell) = 3.8